The following is a PBE-GGA calculation of a relaxed structure of KCaOs2, from Alexandria.

The space group is Cm (No. 8) and the conventional cell measures 7.167, 4.138 and 9.037 Å, with angles of 90.00, 104.03 and 90.00 degrees. Symmetry generates all atoms from K at (0.000, 0.000, 0.000), Ca at (0.336, 0.500, 0.470), Os at (0.068, 0.500, 0.681) and Os at (0.247, 0.000, 0.721).

The energy relative to the lowest polymorph listed for this composition is 0.000 eV/atom. The magnetic moment comes out at 0.00 Bohr magnetons per cell. The value obtained for the total energy is -48.0 eV per cell.

***

The following is a PBE-GGA calculation of a relaxed structure of La3Y4Ho5, from Alexandria.

The space group is P-1 (No. 2) and the conventional cell measures 6.234, 7.179 and 8.823 Å, with angles of 89.83, 89.75 and 89.88 degrees. Symmetry generates all atoms from La at (0.000, 0.000, 0.000), La at (0.168, 0.249, 0.332), Y at (0.170, 0.750, 0.332), Y at (0.333, 0.500, 0.669), Ho at (0.000, 0.500, 0.000), Ho at (0.336, 0.000, 0.668) and Ho at (0.499, 0.749, 0.999).

The energy relative to the lowest polymorph listed for this composition is 0.000 eV/atom. The magnetic moment comes out at 0.00 Bohr magnetons per cell. The value obtained for the total energy is -63.2 eV per cell.

***

The following is a PBE-GGA calculation of a relaxed structure of Pm2Sb4PdRh3, from Alexandria.

The space group is P-4m2 (No. 115) and the conventional cell measures 4.568, 4.568 and 10.459 Å, with angles of 90.00, 90.00 and 90.00 degrees. Symmetry generates all atoms from Pm at (0.000, 0.500, 0.244), Sb at (0.000, 0.000, 0.500), Sb at (0.000, 0.500, 0.867), Sb at (0.500, 0.500, 0.500), Pd at (0.500, 0.500, 0.000), Rh at (0.000, 0.000, 0.000) and Rh at (0.000, 0.500, 0.622).

The calculation puts the formation energy from raw total energies at -0.7991 eV/atom. The magnetic moment comes out at 0.00 Bohr magnetons per cell. The value obtained for the total energy is -61.2 eV per cell.

***

The following is a PBE-GGA calculation of a relaxed structure of Ho12Cu3O5, from Alexandria.

The space group is Ia-3d (No. 230) and the conventional cell measures 15.058, 15.058 and 15.058 Å, with angles of 90.00, 90.00 and 90.00 degrees. Symmetry generates all atoms from Ho at (0.036, 0.055, 0.650), Cu at (0.000, 0.250, 0.125), O at (0.000, 0.000, 0.000) and O at (0.000, 0.250, 0.375).

The calculation puts the formation energy from raw total energies at -1.4666 eV/atom. The magnetic moment comes out at 0.00 Bohr magnetons per cell. The value obtained for the total energy is -970.8 eV per cell.

***

The following is a PBE-GGA calculation of a relaxed structure of Tc2PdS, from Alexandria.

The space group is Fm-3m (No. 225) and the conventional cell measures 6.083, 6.083 and 6.083 Å, with angles of 90.00, 90.00 and 90.00 degrees. Symmetry generates all atoms from Tc at (0.250, 0.250, 0.250), Pd at (0.000, 0.000, 0.000) and S at (0.000, 0.000, 0.500).

The energy relative to the lowest polymorph listed for this composition is 0.000 eV/atom. The calculation puts the formation energy from raw total energies at 0.2861 eV/atom. The magnetic moment comes out at 0.00 Bohr magnetons per cell. The value obtained for the total energy is -115.6 eV per cell.